[1]
The following is a DFT calculation (PBE) of FePbI2Br after structural relaxation.

It has space group P4/mmm (No. 123), with a = 5.6612 Å, b = 5.6612 Å, c = 4.9156 Å, α = 90.00°, β = 90.00° and γ = 90.00°. The distinct sites, in fractional coordinates, are Fe at (0.0000, 0.0000, 0.0000), Pb at (0.5000, 0.5000, 0.5000), I at (0.0000, 0.5000, 0.0000) and Br at (0.0000, 0.0000, 0.5000).

Its uncorrected formation energy is -34 meV per atom.

[2]
The following is a DFT calculation (PBE) of Fe2PbI6Br2 after structural relaxation.

It has space group P-3 (No. 147), with a = 7.5602 Å, b = 7.5602 Å, c = 10.6209 Å, α = 90.00°, β = 90.00° and γ = 120.00°. The distinct sites, in fractional coordinates, are Fe at (0.3333, 0.6667, 0.2413), Pb at (0.0000, 0.0000, 0.5000), I at (0.0023, 0.6525, 0.3191) and Br at (0.3333, 0.6667, 0.0255).

Its uncorrected formation energy is -347 meV per atom.

[3]
The following is a DFT calculation (PBE) of Fe2PdI6Br2 after structural relaxation.

It has space group P-3 (No. 147), with a = 7.1471 Å, b = 7.1471 Å, c = 9.9416 Å, α = 90.00°, β = 90.00° and γ = 120.00°. The distinct sites, in fractional coordinates, are Fe at (0.3333, 0.6667, 0.2504), Pd at (0.0000, 0.0000, 0.5000), I at (0.0013, 0.6834, 0.3328) and Br at (0.3333, 0.6667, 0.0204).

Its uncorrected formation energy is -221 meV per atom.

[4]
The following is a DFT calculation (PBE) of RbFe2I6Br2 after structural relaxation.

It has space group P-3 (No. 147), with a = 7.6952 Å, b = 7.6952 Å, c = 11.3660 Å, α = 90.00°, β = 90.00° and γ = 120.00°. The distinct sites, in fractional coordinates, are Rb at (0.0000, 0.0000, 0.0000), Fe at (0.3333, 0.6667, 0.7250), I at (0.0065, 0.4136, 0.1935) and Br at (0.3333, 0.6667, 0.5233).

Its uncorrected formation energy is -426 meV per atom.

[5]
The following is a DFT calculation (PBE) of FeSb2IBr after structural relaxation.

It has space group P4/mmm (No. 123), with a = 4.9696 Å, b = 4.9696 Å, c = 5.3802 Å, α = 90.00°, β = 90.00° and γ = 90.00°. The distinct sites, in fractional coordinates, are Fe at (0.0000, 0.0000, 0.0000), Sb at (0.0000, 0.5000, 0.0000), I at (0.0000, 0.0000, 0.5000) and Br at (0.5000, 0.5000, 0.5000).

For the energy above the most stable polymorph in this dataset, the calculation gives 0 meV/atom. Its uncorrected formation energy is 318 meV per atom.

[6]
The following is a DFT calculation (PBE) of Fe2SbI6Br2 after structural relaxation.

It has space group P-3 (No. 147), with a = 7.4449 Å, b = 7.4449 Å, c = 10.3686 Å, α = 90.00°, β = 90.00° and γ = 120.00°. The distinct sites, in fractional coordinates, are Fe at (0.3333, 0.6667, 0.2447), Sb at (0.0000, 0.0000, 0.5000), I at (0.9997, 0.3345, 0.6742) and Br at (0.3333, 0.6667, 0.0239).

Its uncorrected formation energy is -250 meV per atom.

[7]
The following is a DFT calculation (PBE) of FeSbI2Br after structural relaxation.

It has space group P4/mmm (No. 123), with a = 5.7510 Å, b = 5.7510 Å, c = 5.8229 Å, α = 90.00°, β = 90.00° and γ = 90.00°. The distinct sites, in fractional coordinates, are Fe at (0.0000, 0.0000, 0.0000), Sb at (0.5000, 0.5000, 0.0000), I at (0.0000, 0.5000, 0.5000) and Br at (0.5000, 0.5000, 0.5000).

For the energy above the most stable polymorph in this dataset, the calculation gives 830 meV/atom. Its uncorrected formation energy is 1192 meV per atom.

[8]
The following is a DFT calculation (PBE) of FeSbI2Br after structural relaxation.

It has space group P4/mmm (No. 123), with a = 5.2768 Å, b = 5.2768 Å, c = 4.9934 Å, α = 90.00°, β = 90.00° and γ = 90.00°. The distinct sites, in fractional coordinates, are Fe at (0.0000, 0.0000, 0.0000), Sb at (0.0000, 0.0000, 0.5000), I at (0.0000, 0.5000, 0.0000) and Br at (0.5000, 0.5000, 0.5000).

For the energy above the most stable polymorph in this dataset, the calculation gives 0 meV/atom. Its uncorrected formation energy is 362 meV per atom.

[9]
The following is a DFT calculation (PBE) of FeSb2IBr after structural relaxation.

It has space group P4/mmm (No. 123), with a = 5.5922 Å, b = 5.5922 Å, c = 5.6257 Å, α = 90.00°, β = 90.00° and γ = 90.00°. The distinct sites, in fractional coordinates, are Fe at (0.0000, 0.0000, 0.0000), Sb at (0.0000, 0.5000, 0.5000), I at (0.5000, 0.5000, 0.0000) and Br at (0.5000, 0.5000, 0.5000).

For the energy above the most stable polymorph in this dataset, the calculation gives 1059 meV/atom. Its uncorrected formation energy is 1377 meV per atom.

[10]
The following is a DFT calculation (PBE) of FeSe2IBr after structural relaxation.

It has space group P4/mmm (No. 123), with a = 4.7641 Å, b = 4.7641 Å, c = 4.9807 Å, α = 90.00°, β = 90.00° and γ = 90.00°. The distinct sites, in fractional coordinates, are Fe at (0.0000, 0.0000, 0.0000), Se at (0.0000, 0.5000, 0.0000), I at (0.5000, 0.5000, 0.5000) and Br at (0.0000, 0.0000, 0.5000).

For the energy above the most stable polymorph in this dataset, the calculation gives 0 meV/atom. Its uncorrected formation energy is 334 meV per atom.

[11]
The following is a DFT calculation (PBE) of FeSeIBr2 after structural relaxation.

It has space group P4/mmm (No. 123), with a = 4.9842 Å, b = 4.9842 Å, c = 4.7441 Å, α = 90.00°, β = 90.00° and γ = 90.00°. The distinct sites, in fractional coordinates, are Fe at (0.0000, 0.0000, 0.0000), Se at (0.0000, 0.0000, 0.5000), I at (0.5000, 0.5000, 0.5000) and Br at (0.0000, 0.5000, 0.0000).

For the energy above the most stable polymorph in this dataset, the calculation gives 0 meV/atom. Its uncorrected formation energy is 193 meV per atom.

[12]
The following is a DFT calculation (PBE) of Fe2SnI6Br2 after structural relaxation.

It has space group P-3 (No. 147), with a = 7.5245 Å, b = 7.5245 Å, c = 10.5717 Å, α = 90.00°, β = 90.00° and γ = 120.00°. The distinct sites, in fractional coordinates, are Fe at (0.3333, 0.6667, 0.2434), Sn at (0.0000, 0.0000, 0.5000), I at (0.0034, 0.6579, 0.3224) and Br at (0.3333, 0.6667, 0.0266).

Its uncorrected formation energy is -311 meV per atom.

[13]
The following is a DFT calculation (PBE) of SrFe2I6Br2 after structural relaxation.

It has space group P-3 (No. 147), with a = 7.6206 Å, b = 7.6206 Å, c = 10.8126 Å, α = 90.00°, β = 90.00° and γ = 120.00°. The distinct sites, in fractional coordinates, are Sr at (0.0000, 0.0000, 0.0000), Fe at (0.3333, 0.6667, 0.7411), I at (0.0036, 0.6492, 0.8186) and Br at (0.3333, 0.6667, 0.5291).

Its uncorrected formation energy is -630 meV per atom.

[14]
The following is a DFT calculation (PBE) of FeTeI2Br after structural relaxation.

It has space group P4/mmm (No. 123), with a = 5.3857 Å, b = 5.3857 Å, c = 4.8791 Å, α = 90.00°, β = 90.00° and γ = 90.00°. The distinct sites, in fractional coordinates, are Fe at (0.0000, 0.0000, 0.0000), Te at (0.0000, 0.0000, 0.5000), I at (0.0000, 0.5000, 0.0000) and Br at (0.5000, 0.5000, 0.5000).

For the energy above the most stable polymorph in this dataset, the calculation gives 0 meV/atom. Its uncorrected formation energy is 380 meV per atom.

[15]
The following is a DFT calculation (PBE) of FeTeI2Br after structural relaxation.

It has space group P4/mmm (No. 123), with a = 6.4391 Å, b = 6.4391 Å, c = 6.2082 Å, α = 90.00°, β = 90.00° and γ = 90.00°. The distinct sites, in fractional coordinates, are Fe at (0.0000, 0.0000, 0.0000), Te at (0.5000, 0.5000, 0.0000), I at (0.0000, 0.5000, 0.5000) and Br at (0.5000, 0.5000, 0.5000).

For the energy above the most stable polymorph in this dataset, the calculation gives 878 meV/atom. Its uncorrected formation energy is 1258 meV per atom.

[16]
The following is a DFT calculation (PBE) of TlFe2I2Br6 after structural relaxation.

It has space group P-3 (No. 147), with a = 7.0895 Å, b = 7.0895 Å, c = 10.7663 Å, α = 90.00°, β = 90.00° and γ = 120.00°. The distinct sites, in fractional coordinates, are Tl at (0.0000, 0.0000, 0.0000), Fe at (0.3333, 0.6667, 0.7447), I at (0.3333, 0.6667, 0.5100) and Br at (0.0051, 0.6332, 0.8141).

Its uncorrected formation energy is -428 meV per atom.

[17]
The following is a DFT calculation (PBE) of TlFe2I6Br2 after structural relaxation.

It has space group P-3 (No. 147), with a = 7.5417 Å, b = 7.5417 Å, c = 10.4376 Å, α = 90.00°, β = 90.00° and γ = 120.00°. The distinct sites, in fractional coordinates, are Tl at (0.0000, 0.0000, 0.0000), Fe at (0.3333, 0.6667, 0.7339), I at (0.0068, 0.6571, 0.8137) and Br at (0.3333, 0.6667, 0.5144).

Its uncorrected formation energy is -278 meV per atom.

[18]
The following is a DFT calculation (PBE) of Tl2FeI2Br2 after structural relaxation.

It has space group C2/m (No. 12), with a = 16.0455 Å, b = 4.3479 Å, c = 8.1060 Å, α = 90.00°, β = 119.15° and γ = 90.00°. The distinct sites, in fractional coordinates, are Tl at (0.1472, 0.0000, 0.1915), Fe at (0.0000, 0.0000, 0.5000), I at (0.0215, 0.5000, 0.7585) and Br at (0.1796, 0.0000, 0.6270).

Its uncorrected formation energy is -497 meV per atom.

[19]
The following is a DFT calculation (PBE) of Tl2FeI2Br4 after structural relaxation.

It has space group I4/mmm (No. 139), with a = 7.3779 Å, b = 7.3779 Å, c = 11.0492 Å, α = 90.00°, β = 90.00° and γ = 90.00°. The distinct sites, in fractional coordinates, are Tl at (0.0000, 0.5000, 0.2500), Fe at (0.0000, 0.0000, 0.0000), I at (0.0000, 0.0000, 0.2602) and Br at (0.2310, 0.2310, 0.0000).

Its uncorrected formation energy is -461 meV per atom.

[20]
The following is a DFT calculation (PBE) of ZnFeI2Br after structural relaxation.

It has space group P4/mmm (No. 123), with a = 6.6603 Å, b = 6.6603 Å, c = 4.5111 Å, α = 90.00°, β = 90.00° and γ = 90.00°. The distinct sites, in fractional coordinates, are Zn at (0.0000, 0.0000, 0.0000), Fe at (0.5000, 0.5000, 0.0000), I at (0.0000, 0.5000, 0.5000) and Br at (0.5000, 0.5000, 0.5000).

For the energy above the most stable polymorph in this dataset, the calculation gives 0 meV/atom. Its uncorrected formation energy is 692 meV per atom.

[21]
The following is a DFT calculation (PBE) of ZnFeI2Br after structural relaxation.

It has space group P4/mmm (No. 123), with a = 6.6353 Å, b = 6.6353 Å, c = 4.7368 Å, α = 90.00°, β = 90.00° and γ = 90.00°. The distinct sites, in fractional coordinates, are Zn at (0.0000, 0.0000, 0.0000), Fe at (0.5000, 0.5000, 0.0000), I at (0.0000, 0.5000, 0.5000) and Br at (0.0000, 0.0000, 0.5000).

For the energy above the most stable polymorph in this dataset, the calculation gives 248 meV/atom. Its uncorrected formation energy is 941 meV per atom.

[22]
The following is a DFT calculation (PBE) of InFeBr2 after structural relaxation.

It has space group I-42d (No. 122), with a = 8.0346 Å, b = 8.0346 Å, c = 6.8970 Å, α = 90.00°, β = 90.00° and γ = 90.00°. The distinct sites, in fractional coordinates, are In at (0.0000, 0.0000, 0.0000), Fe at (0.0000, 0.0000, 0.5000) and Br at (0.1510, 0.2500, 0.6250).

For the energy above the most stable polymorph in this dataset, the calculation gives 79 meV/atom. Its uncorrected formation energy is -142 meV per atom.

[23]
The following is a DFT calculation (PBE) of InFeBr2 after structural relaxation.

It has space group Pm (No. 6), with a = 4.4399 Å, b = 3.6002 Å, c = 7.7104 Å, α = 90.00°, β = 106.60° and γ = 90.00°. The distinct sites, in fractional coordinates, are In at (0.0000, 0.0000, 0.0000), Fe at (0.5347, 0.5000, 0.0696), Br at (0.3729, 0.5000, 0.7462) and Br at (0.6549, 0.0000, 0.3132).

For the energy above the most stable polymorph in this dataset, the calculation gives 12 meV/atom. Its uncorrected formation energy is -209 meV per atom.

[24]
The following is a DFT calculation (PBE) of In2FeBr after structural relaxation.

It has space group I-42d (No. 122), with a = 5.7473 Å, b = 5.7473 Å, c = 16.0196 Å, α = 90.00°, β = 90.00° and γ = 90.00°. The distinct sites, in fractional coordinates, are In at (0.1545, 0.2500, 0.1250), Fe at (0.0000, 0.0000, 0.0000) and Br at (0.0000, 0.0000, 0.5000).

For the energy above the most stable polymorph in this dataset, the calculation gives 358 meV/atom. Its uncorrected formation energy is 421 meV per atom.

[25]
The following is a DFT calculation (PBE) of InFe2Br after structural relaxation.

It has space group Pmmm (No. 47), with a = 3.1615 Å, b = 3.9308 Å, c = 6.5013 Å, α = 90.00°, β = 90.00° and γ = 90.00°. The distinct sites, in fractional coordinates, are In at (0.0000, 0.0000, 0.0000), Fe at (0.5000, 0.5000, 0.1790) and Br at (0.0000, 0.5000, 0.5000).

For the energy above the most stable polymorph in this dataset, the calculation gives 125 meV/atom. Its uncorrected formation energy is 325 meV per atom.

[26]
The following is a DFT calculation (PBE) of InFe2Br after structural relaxation.

It has space group Pmmm (No. 47), with a = 3.0658 Å, b = 4.4686 Å, c = 5.4338 Å, α = 90.00°, β = 90.00° and γ = 90.00°. The distinct sites, in fractional coordinates, are In at (0.0000, 0.0000, 0.0000), Fe at (0.0000, 0.5000, 0.5000), Fe at (0.5000, 0.5000, 0.0000) and Br at (0.5000, 0.0000, 0.5000).

For the energy above the most stable polymorph in this dataset, the calculation gives 429 meV/atom. Its uncorrected formation energy is 628 meV per atom.

One value per record, in order, for volume: 31.508 47.793 39.981 52.989 26.575 45.245 38.518 27.808 35.187 22.610 23.570 47.123 49.436 28.305 51.480 42.602 46.738 35.278 33.414 40.022 41.710 27.827 29.529 33.071 20.198 18.611 A^3/atom.